i.
Computed, not measured: crystalline Ag at its relaxed geometry at the PBEsol level of DFT.

Output
* volume: 16.7 Å³/f.u.
* theoretical density: 10.7 Mg/m³
* spin magnetization: 0.00 μB per formula unit

Cell: 2.7872 2.7872 2.7872 Å, 109.47 109.47 109.47°
Element x y z (fractional)
Ag1 0.0000 0.0000 0.0000

ii.
Computed, not measured: crystalline Ag at its relaxed geometry at the PBEsol level of DFT.

Output
* volume: 16.6 Å³/f.u.
* theoretical density: 10.8 Mg/m³
* spin magnetization: 0.00 μB per formula unit

Cell: 2.8781 2.8781 4.6376 Å, 90.00 90.00 120.00°
Element x y z (fractional)
Ag1 0.3333 0.6667 0.2500
Ag2 0.6667 0.3333 0.7500

Energetically preferred structure: ii | next structure: +29 meV per atom

i.
Computed, not measured: crystalline Ag at its relaxed geometry at the PBEsol level of DFT.

Output
* volume: 16.6 Å³/f.u.
* theoretical density: 10.8 Mg/m³
* spin magnetization: 0.00 μB per formula unit

Cell: 7.2540 7.2540 7.2540 Å, 22.65 22.65 22.65°
Element x y z (fractional)
Ag1 0.0000 0.0000 0.0000
Ag2 0.2223 0.2223 0.2223
Ag3 0.7777 0.7777 0.7777

ii.
Computed, not measured: crystalline Ag at its relaxed geometry at the PBEsol level of DFT.

Output
* volume: 27.2 Å³/f.u.
* theoretical density: 6.6 Mg/m³
* spin magnetization: 0.00 μB per formula unit

Cell: 4.2544 4.2544 4.2544 Å, 60.00 60.00 60.00°
Element x y z (fractional)
Ag1 0.1250 0.1250 0.1250
Ag2 0.8750 0.8750 0.8750

Energetically preferred structure: i | next structure: +977 meV per atom

i.
Computed, not measured: crystalline Al3Ag5 at its relaxed geometry at the PBEsol level of DFT.

Output
* volume: 127.4 Å³/f.u.
* theoretical density: 8.1 Mg/m³
* spin magnetization: 0.00 μB per formula unit

Cell: 7.0345 7.0345 3.1132 Å, 90.00 90.00 124.23°
Element x y z (fractional)
Al1 0.0000 0.0000 0.0000
Al2 0.2686 0.7314 0.0000
Al3 0.7314 0.2686 0.0000
Ag1 0.0934 0.3541 0.5000
Ag2 0.3541 0.0934 0.5000
Ag3 0.5000 0.5000 0.0000
Ag4 0.6459 0.9066 0.5000
Ag5 0.9066 0.6459 0.5000

ii.
Computed, not measured: crystalline Al3Ag5 at its relaxed geometry at the PBEsol level of DFT.

Output
* volume: 128.9 Å³/f.u.
* theoretical density: 8.0 Mg/m³
* spin magnetization: 0.00 μB per formula unit

Cell: 5.5952 5.5952 5.5952 Å, 61.81 61.81 61.81°
Element x y z (fractional)
Al1 0.0000 0.5000 0.5000
Al2 0.5000 0.0000 0.5000
Al3 0.5000 0.5000 0.0000
Ag1 0.0000 0.0000 0.0000
Ag2 0.0000 0.0000 0.5000
Ag3 0.0000 0.5000 0.0000
Ag4 0.5000 0.0000 0.0000
Ag5 0.5000 0.5000 0.5000

Energetically preferred structure: i | next structure: +17 meV per atom